Entry 1:
Below is an optimized crystal structure of Dy8Tm3In, with properties calculated at the GGA-PBE level.

POSCAR file:
```
Dy8Tm3In
1.0
-3.370 -1.118 -0.172
0.661 -3.230 8.037
-3.191 8.102 9.835
Dy Tm In
8 3 1
direct
0.333 0.780 0.953
0.334 0.830 0.584
0.833 0.051 0.710
0.333 0.282 0.458
0.833 0.481 0.596
0.333 0.736 0.347
0.333 0.346 0.066
0.833 0.090 0.319
0.333 0.256 0.844
0.833 0.539 0.209
0.833 0.984 0.092
0.833 0.595 0.818
```

* space group: Pm (6)

=====

Entry 2:
Below is an optimized crystal structure of Nd2Sm2Hg, with properties calculated at the GGA-PBE level.

POSCAR file:
```
Nd2Sm2Hg
1.0
3.660 0.000 -0.587
-0.094 3.659 -0.587
0.029 0.030 11.883
Nd Sm Hg
2 2 1
direct
0.806 0.806 0.611
0.194 0.194 0.389
0.585 0.585 0.171
0.415 0.415 0.829
0.000 0.000 0.000
```

* space group: I4/mmm (139)

=====

Entry 3:
Below is an optimized crystal structure of Ta2AgPRh, with properties calculated at the GGA-PBE level.

POSCAR file:
```
Ta2AgPRh
1.0
4.603 0.000 0.000
0.000 4.366 0.000
0.000 0.000 4.603
P Rh Ag Ta
1 1 1 2
direct
0.000 0.000 0.000
0.000 0.500 0.000
0.500 0.500 0.500
0.000 0.000 0.500
0.500 0.000 0.000
```

* space group: P4/mmm (123)

=====

Entry 4:
Below is an optimized crystal structure of SrLi2PmSn2, with properties calculated at the GGA-PBE level.

POSCAR file:
```
SrLi2PmSn2
1.0
-2.460 1.786 3.821
-2.346 -0.991 -4.166
-1.394 -7.330 2.529
Sr Li Pm Sn
1 2 1 2
direct
0.000 0.000 0.000
0.333 0.667 0.704
0.667 0.333 0.296
0.000 0.000 0.500
0.333 0.667 0.285
0.667 0.333 0.715
```

* space group: P-3m1 (164)

=====

| no. | E_form (eV/atom) |
| --- | --- |
| 1 | -0.07 |
| 2 | -0.18 |
| 3 | 0.29 |
| 4 | -0.61 |